# 1
Entry from Alexandria via LeMat-Bulk: a relaxed HoAl2Cd crystal (PBE-GGA).

Space-group type: P4/mmm

a b c (Å): 4.3890 4.3890 4.3057
angles (deg): 90.00 90.00 90.00
Last column: nearest neighbours and their distance in Å.
Element x y z (fractional)
Ho  0.0000  0.0000  0.0000  8 Al 3.07, 4 Cd 3.10
Al  0.0000  0.5000  0.5000  4 Cd 3.07, 4 Ho 3.07, 4 Al 3.10
Al  0.5000  0.0000  0.5000  4 Cd 3.07, 4 Ho 3.07, 4 Al 3.10
Cd  0.5000  0.5000  0.0000  8 Al 3.07, 4 Ho 3.10

# 2
Entry from Alexandria via LeMat-Bulk: a relaxed PdAu2C2 crystal (PBE-GGA).

Space-group type: I4/mmm
Excess energy over the best structure of this formula in the dataset in meV per atom: 0

a b c (Å): 3.3484 3.3484 12.2457
angles (deg): 90.00 90.00 90.00
Last column: nearest neighbours and their distance in Å.
Element x y z (fractional)
Pd  0.0000  0.0000  0.0000  8 Au 2.83
Pd  0.5000  0.5000  0.5000  8 Au 2.83
Au  0.0000  0.0000  0.3733  4 C 2.25
Au  0.0000  0.0000  0.6267  4 C 2.25
Au  0.5000  0.5000  0.1267  4 C 2.25
Au  0.5000  0.5000  0.8733  4 C 2.25
C  0.0000  0.5000  0.2500  4 Au 2.25, 4 C 2.37
C  0.0000  0.5000  0.7500  4 Au 2.25, 4 C 2.37
C  0.5000  0.0000  0.2500  4 Au 2.25, 4 C 2.37
C  0.5000  0.0000  0.7500  4 Au 2.25, 4 C 2.37

For reference, calculated formation energy by record: -126, 815 kJ/mol of formula units.
For reference, final energy by record: -0.1312, -0.1599 Ha/atom.